# OsSe2Cl GGA-PBE relaxed
data_OsSe2Cl
_chemical_formula_sum 'Os1 Se2 Cl1'
_cell_length_a 4.796
_cell_length_b 4.796
_cell_length_c 2.996
_cell_angle_alpha 90.00
_cell_angle_beta 90.00
_cell_angle_gamma 90.00
_symmetry_space_group_name_H-M 'P 4/m m m'
_symmetry_Int_Tables_number 123
_symmetry_space_group_name_Hall '-P 4 2'
loop_
_atom_site_label
_atom_site_fract_x
_atom_site_fract_y
_atom_site_fract_z
Os1 0.000 0.000 0.000
Se1 0.000 0.500 0.500
Cl1 0.500 0.500 0.000
# E above lowest polymorph in eV/atom: 0.9842
# Fermi-level density of states in states/eV/cell: 3.76
# Formation energy (no corrections) in kJ/mol of atoms: 94.2

---

# LiTaBe GGA-PBE relaxed
data_LiTaBe
_chemical_formula_sum 'Li4 Ta4 Be4'
_cell_length_a 5.561
_cell_length_b 5.561
_cell_length_c 5.561
_cell_angle_alpha 90.00
_cell_angle_beta 90.00
_cell_angle_gamma 90.00
_symmetry_space_group_name_H-M 'F -4 3 m'
_symmetry_Int_Tables_number 216
_symmetry_space_group_name_Hall 'F -4 2 3'
loop_
_atom_site_label
_atom_site_fract_x
_atom_site_fract_y
_atom_site_fract_z
Li1 0.000 0.000 0.000
Ta1 0.000 0.000 0.500
Be1 0.250 0.250 0.250
# E above lowest polymorph in eV/atom: 0.6049
# Fermi-level density of states in states/eV/cell: 2.11
# Formation enthalpy at 0 K in meV/atom: 734

---

# IrPbCl2 GGA-PBE relaxed
data_IrPbCl2
_chemical_formula_sum 'Ir2 Pb2 Cl4'
_cell_length_a 4.007
_cell_length_b 4.007
_cell_length_c 10.752
_cell_angle_alpha 90.00
_cell_angle_beta 90.00
_cell_angle_gamma 90.00
_symmetry_space_group_name_H-M 'I -4 m 2'
_symmetry_Int_Tables_number 119
_symmetry_space_group_name_Hall 'I -4 -2'
loop_
_atom_site_label
_atom_site_fract_x
_atom_site_fract_y
_atom_site_fract_z
Ir1 0.000 0.000 0.000
Pb1 0.000 0.500 0.750
Cl1 0.000 0.000 0.500
Cl2 0.000 0.500 0.250
# E above lowest polymorph in eV/atom: 0.5724
# Fermi-level density of states in states/eV/cell: 10.41
# Formation energy (no corrections) in kJ/mol of atoms: 45.6

---

# CsLaPrI6 GGA-PBE relaxed
data_CsLaPrI6
_chemical_formula_sum 'Cs4 La4 Pr4 I24'
_cell_length_a 11.610
_cell_length_b 11.671
_cell_length_c 16.593
_cell_angle_alpha 90.00
_cell_angle_beta 90.00
_cell_angle_gamma 90.00
_symmetry_space_group_name_H-M 'I m m a'
_symmetry_Int_Tables_number 74
_symmetry_space_group_name_Hall '-I 2b 2'
loop_
_atom_site_label
_atom_site_fract_x
_atom_site_fract_y
_atom_site_fract_z
Cs1 0.000 0.250 0.055
La1 0.000 0.000 0.500
Pr1 0.250 0.250 0.750
I1 0.000 0.250 0.420
I2 0.000 0.250 0.824
I3 0.211 0.050 0.620
# Fermi-level density of states in states/eV/cell: 29.60
# Formation energy (no corrections) in kJ/mol of atoms: -128.6

---

# Li3Nd2Cu12Pd GGA-PBE relaxed
data_Li3Nd2Cu12Pd
_chemical_formula_sum 'Li9 Nd6 Cu36 Pd3'
_cell_length_a 5.8659
_cell_length_b 5.8659
_cell_length_c 29.0402
_cell_angle_alpha 90.00
_cell_angle_beta 90.00
_cell_angle_gamma 120.00
_symmetry_space_group_name_H-M 'R -3 m'
_symmetry_Int_Tables_number 166
_symmetry_space_group_name_Hall '-R 3 2"'
loop_
_atom_site_label
_atom_site_fract_x
_atom_site_fract_y
_atom_site_fract_z
Li1 0.0000 0.5000 0.0000
Nd1 0.0000 0.0000 0.1432
Cu1 0.0330 0.5165 0.0967
Cu2 0.0645 0.5322 0.6190
Pd1 0.0000 0.0000 0.5000
# Fermi-level density of states in states/eV/cell: 21.23
# Formation enthalpy at 0 K in meV/atom: 96

---

# NaLiBrCl GGA-PBE relaxed
data_NaLiBrCl
_chemical_formula_sum 'Na2 Li2 Br2 Cl2'
_cell_length_a 4.1516
_cell_length_b 4.1516
_cell_length_c 13.5349
_cell_angle_alpha 90.00
_cell_angle_beta 90.00
_cell_angle_gamma 120.00
_symmetry_space_group_name_H-M 'P 63 m c'
_symmetry_Int_Tables_number 186
_symmetry_space_group_name_Hall 'P 6c -2c'
loop_
_atom_site_label
_atom_site_fract_x
_atom_site_fract_y
_atom_site_fract_z
Na1 0.3333 0.6667 0.0000
Li1 0.0000 0.0000 0.2391
Br1 0.3333 0.6667 0.6587
Cl1 0.0000 0.0000 0.4085
# Fermi-level density of states in states/eV/cell: 0.00
# Formation energy (no corrections) in kJ/mol of atoms: -159.8

---

# CuHgRh2 GGA-PBE relaxed
data_CuHgRh2
_chemical_formula_sum 'Cu2 Hg2 Rh4'
_cell_length_a 9.196
_cell_length_b 2.833
_cell_length_c 4.811
_cell_angle_alpha 90.00
_cell_angle_beta 101.78
_cell_angle_gamma 90.00
_symmetry_space_group_name_H-M 'C 1 2/m 1'
_symmetry_Int_Tables_number 12
_symmetry_space_group_name_Hall '-C 2y'
loop_
_atom_site_label
_atom_site_fract_x
_atom_site_fract_y
_atom_site_fract_z
Cu1 0.000 0.000 0.000
Hg1 0.000 0.500 0.500
Rh1 0.242 0.500 0.230
# Fermi-level density of states in states/eV/cell: 9.03
# Formation enthalpy at 0 K in meV/atom: 160

---

# CeMg2Cd3 GGA-PBE relaxed
data_CeMg2Cd3
_chemical_formula_sum 'Ce2 Mg4 Cd6'
_cell_length_a 5.0839
_cell_length_b 5.0839
_cell_length_c 12.7524
_cell_angle_alpha 90.00
_cell_angle_beta 90.00
_cell_angle_gamma 120.00
_symmetry_space_group_name_H-M 'P -3 m 1'
_symmetry_Int_Tables_number 164
_symmetry_space_group_name_Hall '-P 3 2"'
loop_
_atom_site_label
_atom_site_fract_x
_atom_site_fract_y
_atom_site_fract_z
Ce1 0.3333 0.6667 0.1634
Mg1 0.0000 0.0000 0.0000
Mg2 0.0000 0.0000 0.5000
Mg3 0.3333 0.6667 0.6659
Cd1 0.0000 0.0000 0.2669
Cd2 0.3333 0.6667 0.4208
Cd3 0.3333 0.6667 0.9180
# E above lowest polymorph in eV/atom: 0.0000
# Fermi-level density of states in states/eV/cell: 16.09
# Formation enthalpy at 0 K in meV/atom: -168

---

# AsRh GGA-PBE relaxed
data_AsRh
_chemical_formula_sum 'As1 Rh1'
_cell_length_a 3.124
_cell_length_b 3.124
_cell_length_c 3.114
_cell_angle_alpha 90.00
_cell_angle_beta 90.00
_cell_angle_gamma 90.00
_symmetry_space_group_name_H-M 'P 4/m m m'
_symmetry_Int_Tables_number 123
_symmetry_space_group_name_Hall '-P 4 2'
loop_
_atom_site_label
_atom_site_fract_x
_atom_site_fract_y
_atom_site_fract_z
As1 0.000 0.000 0.000
Rh1 0.500 0.500 0.500
# Fermi-level density of states in states/eV/cell: 2.28
# Formation enthalpy at 0 K in meV/atom: -147

---

# Ca2YOs GGA-PBE relaxed
data_Ca2YOs
_chemical_formula_sum 'Ca6 Y3 Os3'
_cell_length_a 3.3841
_cell_length_b 3.3841
_cell_length_c 32.8472
_cell_angle_alpha 90.00
_cell_angle_beta 90.00
_cell_angle_gamma 120.00
_symmetry_space_group_name_H-M 'R -3 m'
_symmetry_Int_Tables_number 166
_symmetry_space_group_name_Hall '-R 3 2"'
loop_
_atom_site_label
_atom_site_fract_x
_atom_site_fract_y
_atom_site_fract_z
Ca1 0.0000 0.0000 0.2311
Y1 0.0000 0.0000 0.0000
Os1 0.0000 0.0000 0.5000
# E above lowest polymorph in eV/atom: 0.4546
# Fermi-level density of states in states/eV/cell: 9.53
# Formation enthalpy at 0 K in meV/atom: 541

---

# ZrSbCl2 GGA-PBE relaxed
data_ZrSbCl2
_chemical_formula_sum 'Zr4 Sb4 Cl8'
_cell_length_a 4.419
_cell_length_b 4.419
_cell_length_c 18.865
_cell_angle_alpha 90.00
_cell_angle_beta 90.00
_cell_angle_gamma 90.00
_symmetry_space_group_name_H-M 'I -4 2 d'
_symmetry_Int_Tables_number 122
_symmetry_space_group_name_Hall 'I -4 2bw'
loop_
_atom_site_label
_atom_site_fract_x
_atom_site_fract_y
_atom_site_fract_z
Zr1 0.000 0.000 0.000
Sb1 0.000 0.000 0.500
Cl1 0.226 0.250 0.125
# E above lowest polymorph in eV/atom: 0.5183
# Fermi-level density of states in states/eV/cell: 27.28
# Formation energy (no corrections) in kJ/mol of atoms: -53.8

---

# SrSbPdO2 GGA-PBE relaxed
data_SrSbPdO2
_chemical_formula_sum 'Sr1 Sb1 Pd1 O2'
_cell_length_a 4.318
_cell_length_b 4.318
_cell_length_c 5.390
_cell_angle_alpha 90.00
_cell_angle_beta 90.00
_cell_angle_gamma 90.00
_symmetry_space_group_name_H-M 'P 4/m m m'
_symmetry_Int_Tables_number 123
_symmetry_space_group_name_Hall '-P 4 2'
loop_
_atom_site_label
_atom_site_fract_x
_atom_site_fract_y
_atom_site_fract_z
Sr1 0.000 0.000 0.000
Sb1 0.500 0.500 0.000
Pd1 0.000 0.000 0.500
O1 0.000 0.500 0.500
# Fermi-level density of states in states/eV/cell: 6.62
# Formation energy (no corrections) in kJ/mol of atoms: 6.3

---

# Ca2SbRh GGA-PBE relaxed
data_Ca2SbRh
_chemical_formula_sum 'Ca2 Sb1 Rh1'
_cell_length_a 3.407
_cell_length_b 3.407
_cell_length_c 8.329
_cell_angle_alpha 90.00
_cell_angle_beta 90.00
_cell_angle_gamma 90.00
_symmetry_space_group_name_H-M 'P 4/m m m'
_symmetry_Int_Tables_number 123
_symmetry_space_group_name_Hall '-P 4 2'
loop_
_atom_site_label
_atom_site_fract_x
_atom_site_fract_y
_atom_site_fract_z
Ca1 0.000 0.000 0.209
Sb1 0.500 0.500 0.500
Rh1 0.500 0.500 0.000
# Fermi-level density of states in states/eV/cell: 1.22
# Formation energy (no corrections) in kJ/mol of atoms: -54.3

---

# Ba6Na2Pd GGA-PBE relaxed
data_Ba6Na2Pd
_chemical_formula_sum 'Ba12 Na4 Pd2'
_cell_length_a 8.684
_cell_length_b 8.694
_cell_length_c 15.682
_cell_angle_alpha 90.00
_cell_angle_beta 123.59
_cell_angle_gamma 90.00
_symmetry_space_group_name_H-M 'P 1 21/c 1'
_symmetry_Int_Tables_number 14
_symmetry_space_group_name_Hall '-P 2ybc'
loop_
_atom_site_label
_atom_site_fract_x
_atom_site_fract_y
_atom_site_fract_z
Ba1 0.199 0.205 0.494
Ba2 0.271 0.501 0.758
Ba3 0.290 0.705 0.495
Na1 0.244 0.010 0.750
Pd1 0.500 0.000 0.500
# E above lowest polymorph in eV/atom: 0.0000
# Fermi-level density of states in states/eV/cell: 16.50
# Formation enthalpy at 0 K in meV/atom: -141

---

# Sr2CoPd2 GGA-PBE relaxed
data_Sr2CoPd2
_chemical_formula_sum 'Sr4 Co2 Pd4'
_cell_length_a 7.101
_cell_length_b 7.101
_cell_length_c 4.615
_cell_angle_alpha 90.00
_cell_angle_beta 90.00
_cell_angle_gamma 90.00
_symmetry_space_group_name_H-M 'P 4/m b m'
_symmetry_Int_Tables_number 127
_symmetry_space_group_name_Hall '-P 4 2ab'
loop_
_atom_site_label
_atom_site_fract_x
_atom_site_fract_y
_atom_site_fract_z
Sr1 0.176 0.324 0.000
Co1 0.000 0.000 0.500
Pd1 0.139 0.639 0.500
# Fermi-level density of states in states/eV/cell: 6.80
# Formation enthalpy at 0 K in meV/atom: -133

---

# Y7Ho4Pu GGA-PBE relaxed
data_Y7Ho4Pu
_chemical_formula_sum 'Y14 Ho8 Pu2'
_cell_length_a 16.368
_cell_length_b 5.768
_cell_length_c 9.337
_cell_angle_alpha 90.00
_cell_angle_beta 121.13
_cell_angle_gamma 90.00
_symmetry_space_group_name_H-M 'C 1 2/m 1'
_symmetry_Int_Tables_number 12
_symmetry_space_group_name_Hall '-C 2y'
loop_
_atom_site_label
_atom_site_fract_x
_atom_site_fract_y
_atom_site_fract_z
Y1 0.000 0.000 0.000
Y2 0.055 0.500 0.725
Y3 0.162 0.500 0.310
Y4 0.205 0.000 0.888
Ho1 0.093 0.000 0.455
Ho2 0.250 0.000 0.286
Pu1 0.000 0.500 0.000
# Fermi-level density of states in states/eV/cell: 50.39
# Formation enthalpy at 0 K in meV/atom: 446

---

# LaZnSi3 GGA-PBE relaxed
data_LaZnSi3
_chemical_formula_sum 'La1 Zn1 Si3'
_cell_length_a 5.605
_cell_length_b 5.605
_cell_length_c 5.605
_cell_angle_alpha 90.00
_cell_angle_beta 90.00
_cell_angle_gamma 90.00
_symmetry_space_group_name_H-M 'P m -3 m'
_symmetry_Int_Tables_number 221
_symmetry_space_group_name_Hall '-P 4 2 3'
loop_
_atom_site_label
_atom_site_fract_x
_atom_site_fract_y
_atom_site_fract_z
La1 0.000 0.000 0.000
Zn1 0.500 0.500 0.500
Si1 0.000 0.000 0.500
# Fermi-level density of states in states/eV/cell: 5.48
# Formation energy (no corrections) in kJ/mol of atoms: 137.0

---

# Tm2SN GGA-PBE relaxed
data_Tm2SN
_chemical_formula_sum 'Tm6 S3 N3'
_cell_length_a 3.5558
_cell_length_b 3.5558
_cell_length_c 18.4663
_cell_angle_alpha 90.00
_cell_angle_beta 90.00
_cell_angle_gamma 120.00
_symmetry_space_group_name_H-M 'R -3 m'
_symmetry_Int_Tables_number 166
_symmetry_space_group_name_Hall '-R 3 2"'
loop_
_atom_site_label
_atom_site_fract_x
_atom_site_fract_y
_atom_site_fract_z
Tm1 0.0000 0.0000 0.2359
S1 0.0000 0.0000 0.0000
N1 0.0000 0.0000 0.5000
# E above lowest polymorph in eV/atom: 0.0000
# Fermi-level density of states in states/eV/cell: 3.47
# Formation energy (no corrections) in kJ/mol of atoms: -181.7

---

# HfSb2Ru GGA-PBE relaxed
data_HfSb2Ru
_chemical_formula_sum 'Hf4 Sb8 Ru4'
_cell_length_a 6.833
_cell_length_b 6.833
_cell_length_c 6.833
_cell_angle_alpha 90.00
_cell_angle_beta 90.00
_cell_angle_gamma 90.00
_symmetry_space_group_name_H-M 'F m -3 m'
_symmetry_Int_Tables_number 225
_symmetry_space_group_name_Hall '-F 4 2 3'
loop_
_atom_site_label
_atom_site_fract_x
_atom_site_fract_y
_atom_site_fract_z
Hf1 0.000 0.000 0.000
Sb1 0.250 0.250 0.250
Ru1 0.000 0.000 0.500
# Fermi-level density of states in states/eV/cell: 23.03
# Formation energy (no corrections) in kJ/mol of atoms: -0.6

---

# Na2TaAsO6 GGA-PBE relaxed
data_Na2TaAsO6
_chemical_formula_sum 'Na2 Ta1 As1 O6'
_cell_length_a 5.203
_cell_length_b 5.203
_cell_length_c 4.664
_cell_angle_alpha 90.00
_cell_angle_beta 90.00
_cell_angle_gamma 90.00
_symmetry_space_group_name_H-M 'P 4 m m'
_symmetry_Int_Tables_number 99
_symmetry_space_group_name_Hall 'P 4 -2'
loop_
_atom_site_label
_atom_site_fract_x
_atom_site_fract_y
_atom_site_fract_z
Na1 0.000 0.500 0.000
Ta1 0.000 0.000 0.540
As1 0.500 0.500 0.530
O1 0.000 0.000 0.151
O2 0.261 0.261 0.638
O3 0.500 0.500 0.167
# Fermi-level density of states in states/eV/cell: 0.00
# Formation energy (no corrections) in kJ/mol of atoms: -188.8